{
  "formula": "BaMnTc2O8",
  "functional": "PBE+U",
  "state": "optimized geometry",
  "sg": "No. 164",
  "dos_at_fermi_per_ev_cell": 10.58,
  "total_energy_ry_per_atom": -0.5534,
  "lattice": [[5.816, 0.000, 0.000], [-2.908, 5.037, 0.000], [0.000, 0.000, 7.437]],
  "species": ["Ba", "Mn", "Tc", "Tc", "O", "O", "O", "O", "O", "O", "O", "O"],
  "frac_coords": [[0.000, 0.000, 0.000], [0.000, 0.000, 0.500], [0.333, 0.667, 0.757], [0.667, 0.333, 0.243], [0.162, 0.324, 0.689], [0.162, 0.838, 0.689], [0.324, 0.162, 0.311], [0.333, 0.667, 0.996], [0.667, 0.333, 0.004], [0.676, 0.838, 0.689], [0.838, 0.162, 0.311], [0.838, 0.676, 0.311]]
}